1.
# CsTaBiSe4 PBE-GGA relaxed
# E_form (uncorrected) (eV per atom): -0.674
# ρ (g/cm3): 5.50
data_CsTaBiSe4
_chemical_formula_sum 'Cs2 Ta2 Bi2 Se8'
_symmetry_space_group_name_H-M 'P 1 21/m 1'
_symmetry_Int_Tables_number 11
_cell_length_a 7.0919
_cell_length_b 7.4659
_cell_length_c 10.0966
_cell_angle_alpha 90.00
_cell_angle_beta 108.61
_cell_angle_gamma 90.00
loop_
_symmetry_equiv_pos_as_xyz
'x,y,z'
'-x,-y,-z'
'-x,y+1/2,-z'
'x,-y+1/2,z'
loop_
_atom_site_label
_atom_site_fract_x
_atom_site_fract_y
_atom_site_fract_z
_atom_site_occupancy
Cs1 0.2156 0.2500 0.4206 1
Ta1 0.3114 0.7500 0.1877 1
Bi1 0.2055 0.2500 0.9304 1
Se1 0.0919 0.7500 0.3341 1
Se2 0.0967 0.7500 0.9444 1
Se3 0.4778 0.5064 0.7746 1



2.
# Cs2TlBiSe4 PBE-GGA relaxed
# E_form (uncorrected) (eV per atom): -0.635
# ρ (g/cm3): 4.82
data_Cs2TlBiSe4
_chemical_formula_sum 'Cs16 Tl8 Bi8 Se32'
_symmetry_space_group_name_H-M 'F d d d'
_symmetry_Int_Tables_number 70
_cell_length_a 6.9317
_cell_length_b 15.4868
_cell_length_c 25.5696
_cell_angle_alpha 90.00
_cell_angle_beta 90.00
_cell_angle_gamma 90.00
loop_
_symmetry_equiv_pos_as_xyz
'x,y,z'
'-x,-y,-z'
'-x+1/4,-y+1/4,z'
'x+1/4,y+1/4,-z'
'x,-y+1/4,-z+1/4'
'-x,y+1/4,z+1/4'
'-x+1/4,y,-z+1/4'
'x+1/4,-y,z+1/4'
'x,y+1/2,z+1/2'
'-x,-y+1/2,-z+1/2'
'-x+1/4,-y+3/4,z+1/2'
'x+1/4,y+3/4,-z+1/2'
'x,-y+3/4,-z+3/4'
'-x,y+3/4,z+3/4'
'-x+1/4,y+1/2,-z+3/4'
'x+1/4,-y+1/2,z+3/4'
'x+1/2,y,z+1/2'
'-x+1/2,-y,-z+1/2'
'-x+3/4,-y+1/4,z+1/2'
'x+3/4,y+1/4,-z+1/2'
'x+1/2,-y+1/4,-z+3/4'
'-x+1/2,y+1/4,z+3/4'
'-x+3/4,y,-z+3/4'
'x+3/4,-y,z+3/4'
'x+1/2,y+1/2,z'
'-x+1/2,-y+1/2,-z'
'-x+3/4,-y+3/4,z'
'x+3/4,y+3/4,-z'
'x+1/2,-y+3/4,-z+1/4'
'-x+1/2,y+3/4,z+1/4'
'-x+3/4,y+1/2,-z+1/4'
'x+3/4,-y+1/2,z+1/4'
loop_
_atom_site_label
_atom_site_fract_x
_atom_site_fract_y
_atom_site_fract_z
_atom_site_occupancy
Cs1 0.1250 0.1250 0.3074 1
Tl1 0.1250 0.1250 0.6250 1
Bi1 0.1250 0.1250 0.1250 1
Se1 0.1130 0.2708 0.8176 1



3.
# Cs3Tm2BiSe6 PBE-GGA relaxed
# E_form (uncorrected) (eV per atom): -1.402
# ρ (g/cm3): 5.93
data_Cs3Tm2BiSe6
_chemical_formula_sum 'Cs6 Tm4 Bi2 Se12'
_symmetry_space_group_name_H-M 'C 1 2/m 1'
_symmetry_Int_Tables_number 12
_cell_length_a 7.4165
_cell_length_b 12.8426
_cell_length_c 8.7095
_cell_angle_alpha 90.00
_cell_angle_beta 106.48
_cell_angle_gamma 90.00
loop_
_symmetry_equiv_pos_as_xyz
'x,y,z'
'-x,-y,-z'
'-x,y,-z'
'x,-y,z'
'x+1/2,y+1/2,z'
'-x+1/2,-y+1/2,-z'
'-x+1/2,y+1/2,-z'
'x+1/2,-y+1/2,z'
loop_
_atom_site_label
_atom_site_fract_x
_atom_site_fract_y
_atom_site_fract_z
_atom_site_occupancy
Cs1 0.0000 0.0000 0.0000 1
Cs2 0.0000 0.3363 0.0000 1
Tm1 0.0000 0.1669 0.5000 1
Bi1 0.0000 0.5000 0.5000 1
Se1 0.2171 0.0000 0.6848 1
Se2 0.2342 0.3278 0.6859 1



4.
# Cs3TmBi2Se6 PBE-GGA relaxed
# E_form (uncorrected) (eV per atom): -1.093
# ρ (g/cm3): 5.92
data_Cs3TmBi2Se6
_chemical_formula_sum 'Cs6 Tm2 Bi4 Se12'
_symmetry_space_group_name_H-M 'C 1 2/m 1'
_symmetry_Int_Tables_number 12
_cell_length_a 7.5214
_cell_length_b 13.0245
_cell_length_c 8.7214
_cell_angle_alpha 90.00
_cell_angle_beta 106.69
_cell_angle_gamma 90.00
loop_
_symmetry_equiv_pos_as_xyz
'x,y,z'
'-x,-y,-z'
'-x,y,-z'
'x,-y,z'
'x+1/2,y+1/2,z'
'-x+1/2,-y+1/2,-z'
'-x+1/2,y+1/2,-z'
'x+1/2,-y+1/2,z'
loop_
_atom_site_label
_atom_site_fract_x
_atom_site_fract_y
_atom_site_fract_z
_atom_site_occupancy
Cs1 0.0000 0.0000 0.0000 1
Cs2 0.0000 0.3299 0.0000 1
Tm1 0.0000 0.5000 0.5000 1
Bi1 0.0000 0.1663 0.5000 1
Se1 0.2238 0.3387 0.6879 1
Se2 0.2406 0.0000 0.6892 1



5.
# Cs2U2BiSe6 PBE-GGA relaxed
# E_form (uncorrected) (eV per atom): -1.081
# ρ (g/cm3): 5.87
data_Cs2U2BiSe6
_chemical_formula_sum 'Cs4 U4 Bi2 Se12'
_symmetry_space_group_name_H-M 'C 1 2/m 1'
_symmetry_Int_Tables_number 12
_cell_length_a 7.3522
_cell_length_b 12.7582
_cell_length_c 8.9175
_cell_angle_alpha 90.00
_cell_angle_beta 105.40
_cell_angle_gamma 90.00
loop_
_symmetry_equiv_pos_as_xyz
'x,y,z'
'-x,-y,-z'
'-x,y,-z'
'x,-y,z'
'x+1/2,y+1/2,z'
'-x+1/2,-y+1/2,-z'
'-x+1/2,y+1/2,-z'
'x+1/2,-y+1/2,z'
loop_
_atom_site_label
_atom_site_fract_x
_atom_site_fract_y
_atom_site_fract_z
_atom_site_occupancy
Cs1 0.0000 0.1636 0.0000 1
U1 0.0000 0.3338 0.5000 1
Bi1 0.0000 0.0000 0.5000 1
Se1 0.2164 0.5000 0.6852 1
Se2 0.2308 0.1716 0.6843 1



6.
# CsSi2Bi2 PBE-GGA relaxed
# E_form (uncorrected) (eV per atom): 0.207
# ρ (g/cm3): 6.48
# Energy relative to the lowest polymorph listed for this composition (eV/atom): 0.055
data_CsSi2Bi2
_chemical_formula_sum 'Cs2 Si4 Bi4'
_symmetry_space_group_name_H-M 'I 4/m m m'
_symmetry_Int_Tables_number 139
_symmetry_space_group_name_Hall '-I 4 2'
_cell_length_a 5.4362
_cell_length_b 5.4362
_cell_length_c 10.5273
_cell_angle_alpha 90.00
_cell_angle_beta 90.00
_cell_angle_gamma 90.00
loop_
_atom_site_label
_atom_site_fract_x
_atom_site_fract_y
_atom_site_fract_z
_atom_site_occupancy
Cs1 0.0000 0.0000 0.0000 1
Si1 0.0000 0.0000 0.3793 1
Bi1 0.0000 0.5000 0.2500 1



- Number 1 is which compound?
  CsTaBiSe4



- Which value of E_form (uncorrected) does entry 6 give?
  0.207 eV per atom